[1]
{"formula": "Er2Hg9Pb", "functional": "PBE-GGA", "state": "optimized geometry", "lattice": [[4.583, 0.000, 0.000], [0.000, 4.583, 0.000], [0.000, 0.000, 14.273]], "species": ["Er", "Er", "Hg", "Hg", "Hg", "Hg", "Hg", "Hg", "Hg", "Hg", "Hg", "Pb"], "frac_coords": [[0.000, 0.000, 0.169], [0.000, 0.000, 0.831], [0.000, 0.500, 0.000], [0.000, 0.500, 0.322], [0.000, 0.500, 0.678], [0.500, 0.000, 0.000], [0.500, 0.000, 0.322], [0.500, 0.000, 0.678], [0.500, 0.500, 0.156], [0.500, 0.500, 0.500], [0.500, 0.500, 0.844], [0.000, 0.000, 0.500]], "crystal_system": "tetragonal", "ef_ev_per_atom": -0.193, "space_group": "P4/mmm (123)"}

***

[2]
{"formula": "TaCd2Ga2", "functional": "PBE-GGA", "state": "optimized geometry", "lattice": [[7.626, 0.000, 0.000], [0.000, 7.626, 0.000], [0.000, 0.000, 3.268]], "species": ["Ta", "Ta", "Cd", "Cd", "Cd", "Cd", "Ga", "Ga", "Ga", "Ga"], "frac_coords": [[0.000, 0.000, 0.000], [0.500, 0.500, 0.000], [0.142, 0.358, 0.500], [0.358, 0.858, 0.500], [0.642, 0.142, 0.500], [0.858, 0.642, 0.500], [0.160, 0.660, 0.000], [0.340, 0.160, 0.000], [0.660, 0.840, 0.000], [0.840, 0.340, 0.000]], "crystal_system": "tetragonal", "ef_ev_per_atom": 0.301, "space_group": "P4/mbm (127)"}

***

[3]
{"formula": "Sr2ZrCo", "functional": "PBE-GGA", "state": "optimized geometry", "lattice": [[3.350, -4.869, 0.000], [3.350, 4.869, 0.000], [0.000, 0.000, 3.515]], "species": ["Sr", "Sr", "Zr", "Co"], "frac_coords": [[0.000, 0.500, 0.000], [0.500, 0.000, 0.000], [0.000, 0.000, 0.500], [0.500, 0.500, 0.500]], "crystal_system": "orthorhombic", "polymorph_energy_mev_per_atom": 682, "ef_ev_per_atom": 0.850, "space_group": "Cmmm (65)"}

***

[4]
{"formula": "Sr3EuCd", "functional": "PBE-GGA", "state": "optimized geometry", "lattice": [[6.395, 0.000, 0.000], [0.000, 6.395, 0.000], [0.000, 0.000, 6.395]], "species": ["Sr", "Sr", "Sr", "Eu", "Cd"], "frac_coords": [[0.000, 0.000, 0.500], [0.000, 0.500, 0.000], [0.500, 0.000, 0.000], [0.500, 0.500, 0.500], [0.000, 0.000, 0.000]], "crystal_system": "cubic", "ef_ev_per_atom": 0.033, "space_group": "Pm-3m (221)"}

***

[5]
{"formula": "Dy2Ga4Co3Cu", "functional": "PBE-GGA", "state": "optimized geometry", "lattice": [[3.922, 0.000, 0.000], [0.000, 3.922, 0.000], [0.000, 0.000, 10.642]], "species": ["Dy", "Dy", "Ga", "Ga", "Ga", "Ga", "Co", "Co", "Co", "Cu"], "frac_coords": [[0.000, 0.500, 0.239], [0.500, 0.000, 0.761], [0.000, 0.000, 0.000], [0.000, 0.500, 0.636], [0.500, 0.000, 0.364], [0.500, 0.500, 0.000], [0.000, 0.500, 0.861], [0.500, 0.000, 0.139], [0.500, 0.500, 0.500], [0.000, 0.000, 0.500]], "crystal_system": "tetragonal", "ef_ev_per_atom": -0.385, "space_group": "P-4m2 (115)"}

***

[6]
{"formula": "HoNiRh", "functional": "PBE-GGA", "state": "optimized geometry", "lattice": [[4.124, 0.000, 0.000], [-2.062, 3.571, 0.000], [0.000, 0.000, 3.717]], "species": ["Ho", "Ni", "Rh"], "frac_coords": [[0.000, 0.000, 0.000], [0.333, 0.667, 0.500], [0.667, 0.333, 0.500]], "crystal_system": "hexagonal", "ef_ev_per_atom": -0.555, "space_group": "P-6m2 (187)"}